VASP calculation (PBE) on a relaxed structure of Cd2SnAu.

Lattice parameters (Å, degrees): 4.275 5.684 8.465 90.00 90.00 115.34
Atoms (fractional coordinates):
Cd 0.360 0.728 0.551
Cd 0.640 0.272 0.449
Cd 0.360 0.728 0.949
Cd 0.640 0.272 0.051
Sn 0.968 0.892 0.250
Sn 0.032 0.108 0.750
Au 0.750 0.528 0.750
Au 0.250 0.472 0.250

## Properties
calculated formation energy	-0.306	eV per formula unit
space group	P2_1/m, No. 11
M_tot	0.00	μB per atom

VASP calculation (PBE) on a relaxed structure of Cd4SnAu8.

Lattice parameters (Å, degrees): 4.147 4.102 15.608 90.00 90.00 90.00
Atoms (fractional coordinates):
Cd 0.000 0.000 0.050
Cd 0.000 0.500 0.625
Cd 0.500 0.500 0.465
Cd 0.500 0.000 0.898
Sn 0.000 0.000 0.313
Au 0.000 0.000 0.485
Au 0.000 0.500 0.906
Au 0.500 0.500 0.042
Au 0.500 0.000 0.617
Au 0.000 0.500 0.188
Au 0.000 0.000 0.762
Au 0.500 0.000 0.190
Au 0.500 0.500 0.762

## Properties
calculated formation energy	-1.428	eV per formula unit
space group	Pmm2, No. 25
M_tot	0.00	μB per atom

VASP calculation (PBE) on a relaxed structure of CdSnAu4.

Lattice parameters (Å, degrees): 5.602 5.602 5.602 60.00 60.00 60.00
Atoms (fractional coordinates):
Au 0.625 0.625 0.126
Au 0.625 0.126 0.625
Au 0.625 0.625 0.625
Au 0.126 0.625 0.625
Sn 0.000 0.000 0.000
Cd 0.250 0.250 0.250

## Properties
calculated formation energy	-0.249	eV per formula unit
excess energy over the best structure of this formula in the dataset	0.83	kcal/mol of atoms
space group	F-43m, No. 216
M_tot	0.00	μB per atom

VASP calculation (PBE) on a relaxed structure of Cd2Sn2Au.

Lattice parameters (Å, degrees): 7.357 7.357 4.568 90.00 90.00 90.00
Atoms (fractional coordinates):
Au 0.000 0.000 0.000
Au 0.500 0.500 0.000
Sn 0.165 0.665 0.500
Sn 0.665 0.835 0.500
Sn 0.835 0.335 0.500
Sn 0.335 0.165 0.500
Cd 0.358 0.858 0.000
Cd 0.858 0.642 0.000
Cd 0.642 0.142 0.000
Cd 0.142 0.358 0.000

## Properties
calculated formation energy	0.346	eV per formula unit
excess energy over the best structure of this formula in the dataset	2.05	kcal/mol of atoms
space group	P4/mbm, No. 127
M_tot	0.00	μB per atom

VASP calculation (PBE) on a relaxed structure of Cd2Sn2Au.

Lattice parameters (Å, degrees): 4.161 4.161 8.150 75.21 75.21 90.00
Atoms (fractional coordinates):
Au 0.000 0.000 0.000
Sn 0.750 0.250 0.500
Sn 0.250 0.750 0.500
Cd 0.410 0.410 0.180
Cd 0.590 0.590 0.820

## Properties
calculated formation energy	1.060	eV per formula unit
excess energy over the best structure of this formula in the dataset	5.34	kcal/mol of atoms
space group	I4/mmm, No. 139
M_tot	0.00	μB per atom

VASP calculation (PBE) on a relaxed structure of Cd3Sn2Au4.

Lattice parameters (Å, degrees): 4.743 4.705 10.792 103.49 90.00 120.27
Atoms (fractional coordinates):
Cd 0.603 0.207 0.802
Cd 0.000 0.000 0.000
Cd 0.397 0.793 0.198
Sn 0.794 0.589 0.389
Sn 0.206 0.411 0.611
Au 0.696 0.391 0.092
Au 0.304 0.609 0.908
Au 0.897 0.794 0.685
Au 0.103 0.206 0.315

## Properties
calculated formation energy	-1.291	eV per formula unit
space group	C2/m, No. 12
M_tot	0.00	μB per atom

VASP calculation (PBE) on a relaxed structure of CdSn3Au.

Lattice parameters (Å, degrees): 5.427 5.427 5.427 90.00 90.00 90.00
Atoms (fractional coordinates):
Au 0.000 0.000 0.000
Sn 0.000 0.500 0.000
Sn 0.000 0.000 0.500
Sn 0.500 0.000 0.000
Cd 0.500 0.500 0.500

## Properties
calculated formation energy	1.621	eV per formula unit
excess energy over the best structure of this formula in the dataset	8.44	kcal/mol of atoms
space group	Pm-3m, No. 221
M_tot	0.00	μB per atom

VASP calculation (PBE) on a relaxed structure of Cd2Sn2Au.

Lattice parameters (Å, degrees): 7.327 7.327 4.809 90.00 90.00 90.00
Atoms (fractional coordinates):
Au 0.000 0.000 0.000
Au 0.500 0.500 0.000
Sn 0.351 0.851 0.000
Sn 0.851 0.649 0.000
Sn 0.649 0.149 0.000
Sn 0.149 0.351 0.000
Cd 0.163 0.663 0.500
Cd 0.663 0.837 0.500
Cd 0.837 0.337 0.500
Cd 0.337 0.163 0.500

## Properties
calculated formation energy	0.196	eV per formula unit
excess energy over the best structure of this formula in the dataset	1.35	kcal/mol of atoms
space group	P4/mbm, No. 127
M_tot	0.00	μB per atom

VASP calculation (PBE) on a relaxed structure of CdSnAu2.

Lattice parameters (Å, degrees): 3.725 4.303 5.854 90.00 112.30 90.00
Atoms (fractional coordinates):
Cd 0.732 0.000 0.998
Sn 0.426 0.500 0.403
Au 0.161 0.500 0.886
Au 0.013 0.000 0.531

## Properties
calculated formation energy	-0.618	eV per formula unit
space group	Pm, No. 6
M_tot	0.00	μB per atom

VASP calculation (PBE) on a relaxed structure of CdSnAu3.

Lattice parameters (Å, degrees): 3.239 4.673 13.899 90.00 96.69 90.00
Atoms (fractional coordinates):
Cd 0.927 0.750 0.855
Cd 0.073 0.250 0.145
Sn 0.211 0.750 0.421
Sn 0.789 0.250 0.579
Au 0.622 0.750 0.244
Au 0.378 0.250 0.756
Au 0.525 0.750 0.049
Au 0.475 0.250 0.951
Au 0.682 0.250 0.364
Au 0.318 0.750 0.636

## Properties
calculated formation energy	-0.341	eV per formula unit
excess energy over the best structure of this formula in the dataset	1.55	kcal/mol of atoms
space group	Cmcm, No. 63
M_tot	0.00	μB per atom

VASP calculation (PBE) on a relaxed structure of CdSn5Au4.

Lattice parameters (Å, degrees): 4.395 7.468 9.114 65.54 103.95 90.00
Atoms (fractional coordinates):
Cd 0.500 0.000 0.000
Sn 0.171 0.051 0.341
Sn 0.171 0.610 0.342
Sn 0.829 0.390 0.658
Sn 0.500 0.500 0.000
Sn 0.829 0.949 0.659
Au 0.710 0.790 0.421
Au 0.000 0.258 0.999
Au 0.290 0.210 0.579
Au 0.000 0.742 0.001

## Properties
calculated formation energy	-0.929	eV per formula unit
space group	C2/m, No. 12
M_tot	0.00	μB per atom

VASP calculation (PBE) on a relaxed structure of Cd2Sn2Au.

Lattice parameters (Å, degrees): 5.923 5.923 7.051 90.00 90.00 96.97
Atoms (fractional coordinates):
Cd 0.110 0.758 0.341
Cd 0.890 0.242 0.341
Cd 0.758 0.110 0.841
Cd 0.242 0.890 0.841
Sn 0.253 0.368 0.660
Sn 0.747 0.632 0.660
Sn 0.632 0.747 0.160
Sn 0.368 0.253 0.160
Au 0.000 0.500 0.999
Au 0.500 0.000 0.499

## Properties
calculated formation energy	-0.097	eV per formula unit
excess energy over the best structure of this formula in the dataset	0.00	kcal/mol of atoms
space group	Ccc2, No. 37
M_tot	0.00	μB per atom

VASP calculation (PBE) on a relaxed structure of CdSnAu4.

Lattice parameters (Å, degrees): 3.945 6.474 6.793 77.36 107.47 130.00
Atoms (fractional coordinates):
Cd 0.498 0.997 0.502
Sn 0.998 0.497 0.002
Au 0.159 0.999 0.834
Au 0.837 0.996 0.170
Au 0.666 0.495 0.337
Au 0.330 0.500 0.667

## Properties
calculated formation energy	-0.465	eV per formula unit
excess energy over the best structure of this formula in the dataset	0.00	kcal/mol of atoms
space group	P-1, No. 2
M_tot	0.00	μB per atom

VASP calculation (PBE) on a relaxed structure of Cd4SnAu4.

Lattice parameters (Å, degrees): 5.153 8.645 8.645 90.00 90.00 90.00
Atoms (fractional coordinates):
Cd 0.383 0.416 0.846
Cd 0.883 0.654 0.916
Cd 0.383 0.584 0.154
Cd 0.117 0.084 0.654
Cd 0.617 0.846 0.584
Cd 0.117 0.916 0.346
Cd 0.883 0.346 0.084
Cd 0.617 0.154 0.416
Sn 0.000 0.000 0.000
Sn 0.500 0.500 0.500
Au 0.610 0.893 0.202
Au 0.610 0.107 0.798
Au 0.110 0.702 0.607
Au 0.890 0.393 0.702
Au 0.890 0.607 0.298
Au 0.390 0.202 0.107
Au 0.390 0.798 0.893
Au 0.110 0.298 0.393

## Properties
calculated formation energy	-0.779	eV per formula unit
space group	P4_2/n, No. 86
M_tot	0.00	μB per atom

VASP calculation (PBE) on a relaxed structure of Cd2SnAu.

Lattice parameters (Å, degrees): 4.419 4.479 4.479 90.00 90.00 90.00
Atoms (fractional coordinates):
Au 0.500 0.500 0.500
Sn 0.500 0.000 0.000
Cd 0.000 0.000 0.500
Cd 0.000 0.500 0.000

## Properties
calculated formation energy	-0.072	eV per formula unit
space group	P4/mmm, No. 123
M_tot	0.00	μB per atom

VASP calculation (PBE) on a relaxed structure of CdSnAu2.

Lattice parameters (Å, degrees): 7.895 7.895 6.295 51.17 51.17 90.00
Atoms (fractional coordinates):
Au 0.629 0.125 0.250
Au 0.121 0.625 0.250
Au 0.375 0.371 0.750
Au 0.875 0.879 0.750
Sn 0.000 0.000 0.000
Sn 0.750 0.250 0.500
Cd 0.500 0.500 0.000
Cd 0.250 0.750 0.500

## Properties
calculated formation energy	-0.025	eV per formula unit
space group	I-42d, No. 122
M_tot	0.00	μB per atom

VASP calculation (PBE) on a relaxed structure of Cd2Sn2Au.

Lattice parameters (Å, degrees): 3.952 3.952 8.752 76.95 76.95 90.00
Atoms (fractional coordinates):
Au 0.000 0.000 0.000
Sn 0.409 0.409 0.181
Sn 0.591 0.591 0.819
Cd 0.750 0.250 0.500
Cd 0.250 0.750 0.500

## Properties
calculated formation energy	0.749	eV per formula unit
excess energy over the best structure of this formula in the dataset	3.90	kcal/mol of atoms
space group	I4/mmm, No. 139
M_tot	0.00	μB per atom

VASP calculation (PBE) on a relaxed structure of CdSnAu2.

Lattice parameters (Å, degrees): 3.470 3.470 7.010 90.00 90.00 90.00
Atoms (fractional coordinates):
Au 0.000 0.000 0.764
Au 0.000 0.000 0.236
Sn 0.500 0.500 0.500
Cd 0.500 0.500 0.000

## Properties
calculated formation energy	-0.411	eV per formula unit
space group	P4/mmm, No. 123
M_tot	0.00	μB per atom

VASP calculation (PBE) on a relaxed structure of Cd2SnAu.

Lattice parameters (Å, degrees): 3.026 3.026 12.070 82.80 82.80 60.00
Atoms (fractional coordinates):
Au 0.000 0.000 0.000
Sn 0.500 0.500 0.500
Cd 0.081 0.081 0.756
Cd 0.919 0.919 0.244

## Properties
calculated formation energy	0.477	eV per formula unit
space group	R-3m, No. 166
M_tot	0.00	μB per atom

VASP calculation (PBE) on a relaxed structure of Cd6SnAu10.

Lattice parameters (Å, degrees): 5.746 8.255 8.255 120.00 90.00 90.00
Atoms (fractional coordinates):
Cd 0.711 0.381 0.381
Cd 0.711 0.000 0.619
Cd 0.711 0.619 0.000
Cd 0.289 0.619 0.619
Cd 0.289 0.000 0.381
Cd 0.289 0.381 0.000
Sn 0.500 0.000 0.000
Au 0.817 0.729 0.729
Au 0.817 0.000 0.271
Au 0.817 0.271 0.000
Au 0.183 0.271 0.271
Au 0.183 0.000 0.729
Au 0.183 0.729 0.000
Au 0.500 0.333 0.667
Au 0.500 0.667 0.333
Au 0.000 0.667 0.333
Au 0.000 0.333 0.667

## Properties
calculated formation energy	-1.890	eV per formula unit
space group	P-31m, No. 162
M_tot	0.00	μB per atom

VASP calculation (PBE) on a relaxed structure of Cd2SnAu.

Lattice parameters (Å, degrees): 8.195 8.195 6.486 50.82 50.82 90.00
Atoms (fractional coordinates):
Au 0.000 0.000 0.000
Au 0.750 0.250 0.500
Sn 0.500 0.500 0.000
Sn 0.250 0.750 0.500
Cd 0.649 0.125 0.250
Cd 0.101 0.625 0.250
Cd 0.375 0.351 0.750
Cd 0.875 0.899 0.750

## Properties
calculated formation energy	0.081	eV per formula unit
space group	I-42d, No. 122
M_tot	0.00	μB per atom

VASP calculation (PBE) on a relaxed structure of Cd2SnAu8.

Lattice parameters (Å, degrees): 5.460 8.181 7.865 58.66 69.40 47.43
Atoms (fractional coordinates):
Cd 0.000 0.306 0.388
Cd 0.000 0.694 0.612
Sn 0.500 0.000 0.000
Au 0.898 0.096 0.229
Au 0.898 0.325 0.771
Au 0.326 0.409 0.000
Au 0.500 0.779 0.443
Au 0.500 0.221 0.557
Au 0.674 0.591 0.000
Au 0.102 0.675 0.229
Au 0.102 0.904 0.771

## Properties
calculated formation energy	-0.926	eV per formula unit
space group	C2/m, No. 12
M_tot	0.00	μB per atom

VASP calculation (PBE) on a relaxed structure of CdSnAu2.

Lattice parameters (Å, degrees): 3.987 3.987 7.195 73.92 73.92 60.00
Atoms (fractional coordinates):
Cd 0.668 0.668 0.997
Sn 0.499 0.499 0.503
Au 0.084 0.084 0.749
Au 0.250 0.250 0.251

## Properties
calculated formation energy	-0.249	eV per formula unit
space group	R3m, No. 160
M_tot	0.00	μB per atom

VASP calculation (PBE) on a relaxed structure of Cd8SnAu6.

Lattice parameters (Å, degrees): 7.478 7.478 7.478 65.58 65.58 65.58
Atoms (fractional coordinates):
Cd 0.221 0.541 0.883
Cd 0.117 0.779 0.459
Cd 0.459 0.117 0.779
Cd 0.667 0.667 0.667
Cd 0.333 0.333 0.333
Cd 0.541 0.883 0.221
Cd 0.883 0.221 0.541
Cd 0.779 0.459 0.117
Sn 0.000 0.000 0.000
Au 0.054 0.387 0.721
Au 0.279 0.946 0.613
Au 0.613 0.279 0.946
Au 0.387 0.721 0.054
Au 0.721 0.054 0.387
Au 0.946 0.613 0.279

## Properties
calculated formation energy	-2.604	eV per formula unit
space group	R-3, No. 148
M_tot	0.00	μB per atom